[1]
DFT (SCAN) results for USi3 at its PBEsol-relaxed geometry.

Structure (CIF):
```
data_USi3
_chemical_formula_sum 'U1 Si3'
_symmetry_space_group_name_H-M 'P 1'
_symmetry_Int_Tables_number 1
_symmetry_space_group_name_Hall 'P 1'
_cell_length_a 3.9822
_cell_length_b 3.9822
_cell_length_c 3.9822
_cell_angle_alpha 90.00
_cell_angle_beta 90.00
_cell_angle_gamma 90.00
loop_
_atom_site_label
_atom_site_fract_x
_atom_site_fract_y
_atom_site_fract_z
Si1 0.0000 0.5000 0.5000
Si2 0.5000 0.5000 0.0000
Si3 0.5000 0.0000 0.5000
U1 0.0000 0.0000 0.0000
```

Results
* uncorrected formation energy: -0.2119 eV/atom
* D(E_F): 0.700 states/eV per atom
* total moment: 0.000 μB/atom
* symmetry: Pm-3m


[2]
DFT (SCAN) results for LiAlCr2 at its PBEsol-relaxed geometry.

Structure (CIF):
```
data_LiAlCr2
_chemical_formula_sum 'Li1 Al1 Cr2'
_symmetry_space_group_name_H-M 'P 1'
_symmetry_Int_Tables_number 1
_symmetry_space_group_name_Hall 'P 1'
_cell_length_a 2.9303
_cell_length_b 2.9303
_cell_length_c 6.0345
_cell_angle_alpha 90.00
_cell_angle_beta 90.00
_cell_angle_gamma 90.00
loop_
_atom_site_label
_atom_site_fract_x
_atom_site_fract_y
_atom_site_fract_z
Al1 0.5000 0.5000 0.7602
Cr1 0.0000 0.0000 0.0368
Cr2 0.5000 0.5000 0.2101
Li1 0.0000 0.0000 0.4930
```

Results
* energy of formation: 0.0002 eV per atom
* D(E_F): 0.516 states/eV per atom
* total moment: 0.091 μB/atom
* symmetry: P4mm


[3]
DFT (SCAN) results for ThSi3Ir at its PBEsol-relaxed geometry.

Structure (CIF):
```
data_ThSi3Ir
_chemical_formula_sum 'Th1 Si3 Ir1'
_symmetry_space_group_name_H-M 'P 1'
_symmetry_Int_Tables_number 1
_symmetry_space_group_name_Hall 'P 1'
_cell_length_a 4.2404
_cell_length_b 4.2404
_cell_length_c 5.6880
_cell_angle_alpha 111.91
_cell_angle_beta 111.91
_cell_angle_gamma 89.98
loop_
_atom_site_label
_atom_site_fract_x
_atom_site_fract_y
_atom_site_fract_z
Si1 0.7356 0.2355 0.4711
Si2 0.2355 0.7356 0.4711
Si3 0.5905 0.5905 0.1810
Ir1 0.3464 0.3464 0.6925
Th1 0.9997 0.9997 0.9994
```

Results
* uncorrected formation energy: -0.8714 eV/atom
* D(E_F): 0.355 states/eV per atom
* total moment: 0.000 μB/atom
* symmetry: I4mm


[4]
DFT (SCAN) results for CaInAs2 at its PBEsol-relaxed geometry.

Structure (CIF):
```
data_CaInAs2
_chemical_formula_sum 'Ca2 In2 As4'
_symmetry_space_group_name_H-M 'P 1'
_symmetry_Int_Tables_number 1
_symmetry_space_group_name_Hall 'P 1'
_cell_length_a 6.3272
_cell_length_b 6.3272
_cell_length_c 6.3272
_cell_angle_alpha 107.61
_cell_angle_beta 107.61
_cell_angle_gamma 113.26
loop_
_atom_site_label
_atom_site_fract_x
_atom_site_fract_y
_atom_site_fract_z
As1 0.6250 0.6550 0.5300
As2 0.1250 0.0950 0.4700
As3 0.9050 0.3750 0.0300
As4 0.3450 0.8750 0.9700
Ca1 0.5000 0.5000 0.0000
Ca2 0.7500 0.2500 0.5000
In1 0.0000 0.0000 0.0000
In2 0.2500 0.7500 0.5000
```

Results
* energy of formation: -0.5060 eV per atom
* D(E_F): 0.231 states/eV per atom
* total moment: 0.000 μB/atom
* symmetry: I-42d


[5]
DFT (SCAN) results for Zr5AlPb3 at its PBEsol-relaxed geometry.

Structure (CIF):
```
data_Zr5AlPb3
_chemical_formula_sum 'Zr10 Al2 Pb6'
_symmetry_space_group_name_H-M 'P 1'
_symmetry_Int_Tables_number 1
_symmetry_space_group_name_Hall 'P 1'
_cell_length_a 5.8765
_cell_length_b 8.7274
_cell_length_c 8.7274
_cell_angle_alpha 120.00
_cell_angle_beta 90.00
_cell_angle_gamma 90.00
loop_
_atom_site_label
_atom_site_fract_x
_atom_site_fract_y
_atom_site_fract_z
Zr1 0.5000 0.6667 0.3333
Zr2 0.5000 0.3333 0.6667
Zr3 0.0000 0.3333 0.6667
Zr4 0.0000 0.6667 0.3333
Zr5 0.7500 0.2688 0.2688
Zr6 0.7500 0.0000 0.7312
Zr7 0.7500 0.7312 0.0000
Zr8 0.2500 0.7312 0.7312
Zr9 0.2500 0.0000 0.2688
Zr10 0.2500 0.2688 0.0000
Al1 0.5000 0.0000 0.0000
Al2 0.0000 0.0000 0.0000
Pb1 0.7500 0.6149 0.6149
Pb2 0.7500 0.0000 0.3851
Pb3 0.7500 0.3851 0.0000
Pb4 0.2500 0.3851 0.3851
Pb5 0.2500 0.0000 0.6149
Pb6 0.2500 0.6149 0.0000
```

Results
* energy of formation: -0.5419 eV per atom
* D(E_F): 0.688 states/eV per atom
* total moment: 0.000 μB/atom
* symmetry: P6_3/mcm


[6]
DFT (SCAN) results for MnRh3 at its PBEsol-relaxed geometry.

Structure (CIF):
```
data_MnRh3
_chemical_formula_sum 'Mn1 Rh3'
_symmetry_space_group_name_H-M 'P 1'
_symmetry_Int_Tables_number 1
_symmetry_space_group_name_Hall 'P 1'
_cell_length_a 2.6923
_cell_length_b 4.2371
_cell_length_c 4.5781
_cell_angle_alpha 90.00
_cell_angle_beta 90.00
_cell_angle_gamma 90.00
loop_
_atom_site_label
_atom_site_fract_x
_atom_site_fract_y
_atom_site_fract_z
Mn1 0.0000 0.0000 0.0029
Rh1 0.0000 0.5000 0.3323
Rh2 0.5000 0.0000 0.4943
Rh3 0.5000 0.5000 0.8371
```

Results
* energy of formation: -0.1781 eV per atom
* D(E_F): 1.283 states/eV per atom
* total moment: 0.798 μB/atom
* symmetry: Pmm2